Density functional theory data (PBE-GGA) for an optimized crystal structure of Ca2TlSb.

Properties
- Calculated volume: 124 Å³ per cell
- Symmetry: F-43m, No. 216
- E_form (uncorrected): -0.278 eV per atom
- Total magnetization: 0.0000 μB/atom
- Electronic total energy: -2.90 eV per atom

a b c (Å): 5.601 5.601 5.601
angles (deg): 60.00 60.00 60.00
Positions (direct):
Ca (0.000, 0.000, 0.000)
Ca (0.250, 0.250, 0.250)
Tl (0.750, 0.750, 0.750)
Sb (0.500, 0.500, 0.500)